# HfS2O

A geometry-optimized HfS2O structure (GGA-PBE, Alexandria).

Computed properties:
**Formation energy from raw total energies**: -0.85 eV/atom

Lattice parameters (Å, degrees): 3.6172 3.6172 19.5532 90.00 90.00 120.00
Closest atoms and distances in Å follow each position.
Fractional coordinates of all 12 atoms:
Hf 0.0000 0.0000 0.0000  6 S 2.55
Hf 0.3333 0.6667 0.6667  6 S 2.55
Hf 0.6667 0.3333 0.3333  6 S 2.55
S 0.0000 0.0000 0.4083  1 O 1.79
S 0.0000 0.0000 0.5917  1 O 1.79
S 0.3333 0.6667 0.0750  1 O 1.79
S 0.3333 0.6667 0.2584  1 O 1.79
S 0.6667 0.3333 0.7416  1 O 1.79
S 0.6667 0.3333 0.9250  1 O 1.79
O 0.0000 0.0000 0.5000  2 S 1.79
O 0.3333 0.6667 0.1667  2 S 1.79
O 0.6667 0.3333 0.8333  2 S 1.79

---

# Tb2PaMnN4

A geometry-optimized Tb2PaMnN4 structure (GGA-PBE, Alexandria).

Computed properties:
**Formation energy from raw total energies**: -1.22 eV/atom

Lattice parameters (Å, degrees): 5.8884 5.8884 11.7547 90.00 90.00 146.65
Closest atoms and distances in Å follow each position.
Fractional coordinates of all 16 atoms:
Tb 0.1301 0.8699 0.5502  6 N 2.31-2.57
Tb 0.1301 0.8699 0.9498  6 N 2.31-2.57
Tb 0.8699 0.1301 0.0502  6 N 2.31-2.57
Tb 0.8699 0.1301 0.4498  6 N 2.31-2.57
Pa 0.3911 0.6089 0.7500  6 N 2.38-2.52
Pa 0.6089 0.3911 0.2500  6 N 2.38-2.52
Mn 0.3413 0.6587 0.2500  4 N 1.95-2.16
Mn 0.6587 0.3413 0.7500  4 N 1.95-2.16
N 0.0392 0.9608 0.7500  2 Mn 2.16, 2 Pa 2.38
N 0.2202 0.7798 0.1318  1 Mn 1.95
N 0.2202 0.7798 0.3682  1 Mn 1.95
N 0.5000 0.5000 0.0000  4 Tb 2.31
N 0.5000 0.5000 0.5000  4 Tb 2.31
N 0.7798 0.2202 0.6318  1 Mn 1.95
N 0.7798 0.2202 0.8682  1 Mn 1.95
N 0.9608 0.0392 0.2500  2 Mn 2.16, 2 Pa 2.38

---

# LiCeAgCl6

A geometry-optimized LiCeAgCl6 structure (GGA-PBE, Alexandria).

Computed properties:
**Formation energy from raw total energies**: -1.58 eV/atom

Lattice parameters (Å, degrees): 6.6427 6.6427 12.2015 90.00 90.00 120.00
Closest atoms and distances in Å follow each position.
Fractional coordinates of all 18 atoms:
Li 0.3333 0.6667 0.2500  6 Cl 2.61
Li 0.6667 0.3333 0.7500  6 Cl 2.61
Ce 0.3333 0.6667 0.7500  6 Cl 2.65
Ce 0.6667 0.3333 0.2500  6 Cl 2.65
Ag 0.0000 0.0000 0.0000  6 Cl 2.78
Ag 0.0000 0.0000 0.5000  6 Cl 2.78
Cl 0.0045 0.3471 0.1293  1 Li 2.61, 1 Ce 2.65, 1 Ag 2.78
Cl 0.0045 0.6574 0.3707  1 Li 2.61, 1 Ce 2.65, 1 Ag 2.78
Cl 0.3426 0.3471 0.3707  1 Li 2.61, 1 Ce 2.65, 1 Ag 2.78
Cl 0.3426 0.9955 0.1293  1 Li 2.61, 1 Ce 2.65, 1 Ag 2.78
Cl 0.3471 0.0045 0.6293  1 Li 2.61, 1 Ce 2.65, 1 Ag 2.78
Cl 0.3471 0.3426 0.8707  1 Li 2.61, 1 Ce 2.65, 1 Ag 2.78
Cl 0.6529 0.6574 0.1293  1 Li 2.61, 1 Ce 2.65, 1 Ag 2.78
Cl 0.6529 0.9955 0.3707  1 Li 2.61, 1 Ce 2.65, 1 Ag 2.78
Cl 0.6574 0.0045 0.8707  1 Li 2.61, 1 Ce 2.65, 1 Ag 2.78
Cl 0.6574 0.6529 0.6293  1 Li 2.61, 1 Ce 2.65, 1 Ag 2.78
Cl 0.9955 0.3426 0.6293  1 Li 2.61, 1 Ce 2.65, 1 Ag 2.78
Cl 0.9955 0.6529 0.8707  1 Li 2.61, 1 Ce 2.65, 1 Ag 2.78

---

# LaH3Ir

A geometry-optimized LaH3Ir structure (GGA-PBE, Alexandria).

Lattice parameters (Å, degrees): 4.4132 4.4809 6.4851 83.85 81.10 81.06
Closest atoms and distances in Å follow each position.
Fractional coordinates of all 10 atoms:
La 0.0000 0.0000 0.0000  6 H 2.42-2.58
La 0.4164 0.4637 0.4548  7 H 2.42-2.66
H 0.0162 0.2300 0.3286  1 Ir 1.69
H 0.2117 0.9770 0.6344  1 Ir 1.68
H 0.4870 0.2093 0.8101  1 Ir 1.69
H 0.5287 0.7663 0.1103  1 Ir 1.69
H 0.6479 0.9235 0.3532  1 Ir 1.68
H 0.7872 0.6677 0.7052  2 Ir 1.79-1.98
Ir 0.5232 0.4945 0.9506  2 H 1.69
Ir 0.9196 0.9428 0.5041  4 H 1.68-1.79

---

# Co2Te2Pd

A geometry-optimized Co2Te2Pd structure (GGA-PBE, Alexandria).

Computed properties:
**Formation energy from raw total energies**: 0.12 eV/atom

Lattice parameters (Å, degrees): 3.5435 3.5435 14.5907 90.00 90.00 90.00
Closest atoms and distances in Å follow each position.
Fractional coordinates of all 10 atoms:
Co 0.0000 0.5000 0.2500  4 Co 2.51, 4 Te 2.55
Co 0.0000 0.5000 0.7500  4 Co 2.51, 4 Te 2.55
Co 0.5000 0.0000 0.2500  4 Co 2.51, 4 Te 2.55
Co 0.5000 0.0000 0.7500  4 Co 2.51, 4 Te 2.55
Te 0.0000 0.0000 0.1244  4 Co 2.55
Te 0.0000 0.0000 0.8756  4 Co 2.55
Te 0.5000 0.5000 0.3756  4 Co 2.55
Te 0.5000 0.5000 0.6244  4 Co 2.55
Pd 0.0000 0.0000 0.5000  8 Te 3.09
Pd 0.5000 0.5000 0.0000  8 Te 3.09

---

# Sr2FeBr

A geometry-optimized Sr2FeBr structure (GGA-PBE, Alexandria).

Computed properties:
**Distance to the lowest polymorph of the same formula**: 0 meV/atom
**Formation energy from raw total energies**: -0.30 eV/atom

Lattice parameters (Å, degrees): 3.7546 3.7513 8.4754 90.00 90.49 90.00
Closest atoms and distances in Å follow each position.
Fractional coordinates of all 4 atoms:
Sr 0.0031 0.0000 0.2250  4 Fe 3.27, 4 Br 3.52-3.55
Sr 0.9969 0.0000 0.7750  4 Fe 3.27, 4 Br 3.52-3.55
Fe 0.5000 0.5000 0.0000  8 Sr 3.27
Br 0.5000 0.5000 0.5000  8 Sr 3.52-3.55, 4 Br 3.75

---

Number 1: E -6.6405 eV per atom, calculated volume 221.6 Å³ per cell. Number 2: E -8.8758 eV per atom, calculated volume 224.1 Å³ per cell. Number 3: E -3.9989 eV per atom, calculated volume 466.3 Å³ per cell. Number 4: E -5.3094 eV per atom, calculated volume 124.7 Å³ per cell. Number 5: E -5.0182 eV per atom, calculated volume 183.2 Å³ per cell. Number 6: E -3.6740 eV per atom, calculated volume 119.4 Å³ per cell.